Below is CrCo4 after structural relaxation, with properties calculated at the GGA-PBE level.

It has space group Pm-3m (No. 221), with a = 4.1243 Å, b = 4.1243 Å, c = 4.1243 Å, α = 90.00°, β = 90.00° and γ = 90.00°. The distinct sites, in fractional coordinates, are Cr at (0.0000, 0.0000, 0.0000), Co at (0.0000, 0.0000, 0.5000) and Co at (0.5000, 0.5000, 0.5000).

The calculation puts the formation energy at 6.652 eV per formula unit. As for the excess energy over the best structure of this formula in the dataset: 1269 meV/atom.


Below is Y2HoGaC after structural relaxation, with properties calculated at the GGA-PBE level.

It has space group P4/mmm (No. 123), with a = 4.8684 Å, b = 4.8684 Å, c = 4.8387 Å, α = 90.00°, β = 90.00° and γ = 90.00°. The distinct sites, in fractional coordinates, are Y at (0.0000, 0.5000, 0.0000), Ho at (0.0000, 0.0000, 0.5000), Ga at (0.5000, 0.5000, 0.5000) and C at (0.0000, 0.0000, 0.0000).

The calculation puts the formation energy at -2.395 eV per formula unit.


Below is Ca3Si2H2Au4 after structural relaxation, with properties calculated at the GGA-PBE level.

It has space group I4/mmm (No. 139), with a = 4.0798 Å, b = 4.0798 Å, c = 26.4874 Å, α = 90.00°, β = 90.00° and γ = 90.00°. The distinct sites, in fractional coordinates, are Ca at (0.0000, 0.0000, 0.0000), Ca at (0.0000, 0.0000, 0.1927), Si at (0.0000, 0.0000, 0.4565), H at (0.0000, 0.0000, 0.2774) and Au at (0.0000, 0.5000, 0.1010).


| no. | DFT total energy (eV/f.u.) | density (g/cm3) |
| --- | --- | --- |
| 1 | -31.39 | 6.81 |
| 2 | -32.15 | 6.15 |
| 3 | -40.37 | 7.28 |